{"formula": "CsMg2Ga2", "functional": "PBE-GGA", "state": "optimized geometry", "lattice_angstrom": [[-2.566, 2.566, 5.443], [2.566, -2.566, 5.443], [2.566, 2.566, -5.443]], "species": ["Cs", "Mg", "Mg", "Ga", "Ga"], "fractional_positions": [[0.000, 0.000, 0.000], [0.250, 0.750, 0.500], [0.750, 0.250, 0.500], [0.383, 0.383, 0.000], [0.617, 0.617, 0.000]], "magmom_total_mub_per_atom": 0.000, "rho_g_cm3": 3.719, "de_polymorph_ev_per_fu": 0.00}

---

{"formula": "TiNi7Sn2As2", "functional": "PBE-GGA", "state": "optimized geometry", "lattice_angstrom": [[2.538, -2.539, 0.000], [2.538, 2.539, 0.000], [-2.521, 0.000, 14.648]], "species": ["Ti", "Ni", "Ni", "Ni", "Ni", "Ni", "Ni", "Ni", "Sn", "Sn", "As", "As"], "fractional_positions": [[0.000, 0.000, 0.000], [0.062, 0.562, 0.125], [0.307, 0.307, 0.614], [0.438, 0.938, 0.875], [0.500, 0.500, 0.000], [0.562, 0.062, 0.125], [0.693, 0.693, 0.386], [0.938, 0.438, 0.875], [0.213, 0.213, 0.425], [0.787, 0.787, 0.575], [0.387, 0.387, 0.771], [0.613, 0.613, 0.229]], "magmom_total_mub_per_atom": 0.000, "total_energy_ev_per_fu": -69.06, "rho_g_cm3": 7.441}

---

{"formula": "Tl2CrFe", "functional": "PBE-GGA", "state": "optimized geometry", "lattice_angstrom": [[1.649, 0.952, 8.672], [-1.649, 0.952, 8.672], [0.000, -1.904, 8.672]], "species": ["Tl", "Tl", "Cr", "Fe"], "fractional_positions": [[0.000, 0.000, 0.000], [0.225, 0.225, 0.225], [0.468, 0.468, 0.468], [0.754, 0.754, 0.754]], "magmom_total_mub_per_atom": 0.018, "rho_g_cm3": 10.507, "de_polymorph_ev_per_fu": 0.47}

---

{"formula": "Er4NiOs", "functional": "PBE-GGA", "state": "optimized geometry", "lattice_angstrom": [[6.116, 0.000, 0.000], [0.000, 6.468, 0.000], [-2.324, 0.000, 7.221]], "species": ["Er", "Er", "Er", "Er", "Er", "Er", "Er", "Er", "Ni", "Ni", "Os", "Os"], "fractional_positions": [[0.002, 0.000, 0.258], [0.002, 0.500, 0.258], [0.426, 0.250, 0.101], [0.448, 0.250, 0.617], [0.552, 0.750, 0.383], [0.574, 0.750, 0.899], [0.998, 0.000, 0.742], [0.998, 0.500, 0.742], [0.242, 0.750, 0.565], [0.758, 0.250, 0.435], [0.215, 0.750, 0.050], [0.785, 0.250, 0.950]], "magmom_total_mub_per_atom": 0.000, "rho_g_cm3": 10.672, "de_polymorph_ev_per_fu": 0.00}